Compound: BaSi2C
Source: Alexandria
Functional: PBE
Structure: optimized geometry

a b c (Å): 6.9174 6.9174 5.9445
angles (deg): 54.42 54.42 90.00
Last column: nearest neighbours and their distance in Å.
Element x y z (fractional)
C  0.5000  0.5000  0.0000  4 Si 2.07
C  0.2500  0.7500  0.5000  4 Si 2.07
Si  0.4856  0.1250  0.2500  2 C 2.07
Si  0.2644  0.6250  0.2500  2 C 2.07
Si  0.3750  0.5144  0.7500  2 C 2.07
Si  0.8750  0.7356  0.7500  2 C 2.07
Ba  0.0000  0.0000  0.0000  8 Si 3.16-3.31, 2 C 3.38
Ba  0.7500  0.2500  0.5000  8 Si 3.16-3.31, 2 C 3.38

Values from the calculation:
* SG: I-42d, No. 122
* E: -4.93 eV per atom

***

Compound: Ba2SiC
Source: Alexandria
Functional: PBE
Structure: optimized geometry

a b c (Å): 5.4340 5.4340 5.4340
angles (deg): 60.00 60.00 60.00
Last column: nearest neighbours and their distance in Å.
Element x y z (fractional)
C  0.0000  0.0000  0.0000  8 Ba 3.33
Si  0.5000  0.5000  0.5000  8 Ba 3.33
Ba  0.2500  0.2500  0.2500  4 C 3.33, 4 Si 3.33
Ba  0.7500  0.7500  0.7500  4 Si 3.33, 4 C 3.33

Values from the calculation:
* SG: Fm-3m, No. 225
* excess energy over the best structure of this formula in the dataset: 0.00 eV/f.u.

***

Compound: Ba3SiC
Source: Alexandria
Functional: PBE
Structure: optimized geometry

a b c (Å): 5.5836 5.5836 5.5836
angles (deg): 90.00 90.00 90.00
Last column: nearest neighbours and their distance in Å.
Element x y z (fractional)
C  0.0000  0.0000  0.0000  6 Ba 2.79
Si  0.5000  0.5000  0.5000  12 Ba 3.95
Ba  0.0000  0.5000  0.0000  2 C 2.79
Ba  0.0000  0.0000  0.5000  2 C 2.79
Ba  0.5000  0.0000  0.0000  2 C 2.79

Values from the calculation:
* SG: Pm-3m, No. 221
* excess energy over the best structure of this formula in the dataset: 0.00 eV/f.u.

***

Compound: BaSiC3
Source: Alexandria
Functional: PBE
Structure: optimized geometry

a b c (Å): 4.0354 4.0354 4.0354
angles (deg): 90.00 90.00 90.00
Last column: nearest neighbours and their distance in Å.
Element x y z (fractional)
C  0.0000  0.5000  0.0000  2 Si 2.02
C  0.0000  0.0000  0.5000  2 Si 2.02
C  0.5000  0.0000  0.0000  2 Si 2.02
Si  0.0000  0.0000  0.0000  6 C 2.02
Ba  0.5000  0.5000  0.5000  12 C 2.85

Values from the calculation:
* SG: Pm-3m, No. 221
* excess energy over the best structure of this formula in the dataset: 0.00 eV/f.u.

***

Compound: Ba2SiC
Source: Alexandria
Functional: PBE
Structure: optimized geometry

a b c (Å): 8.3633 8.3633 6.8336
angles (deg): 52.27 52.27 90.00
Last column: nearest neighbours and their distance in Å.
Element x y z (fractional)
C  0.5000  0.5000  0.0000  4 Ba 2.69
C  0.2500  0.7500  0.5000  4 Ba 2.69
Si  0.0000  0.0000  0.0000  2 C 3.42, 8 Ba 3.53-3.62
Si  0.7500  0.2500  0.5000  2 C 3.42, 8 Ba 3.53-3.62
Ba  0.5501  0.1250  0.2500  2 C 2.69
Ba  0.1999  0.6250  0.2500  2 C 2.69
Ba  0.3750  0.4499  0.7500  2 C 2.69
Ba  0.8750  0.8001  0.7500  2 C 2.69

Values from the calculation:
* SG: I-42d, No. 122
* excess energy over the best structure of this formula in the dataset: 0.12 eV/f.u.

***

Compound: BaSiSnC2
Source: Alexandria
Functional: PBE
Structure: optimized geometry

a b c (Å): 4.5565 5.2316 4.5565
angles (deg): 90.00 90.00 90.00
Last column: nearest neighbours and their distance in Å.
Element x y z (fractional)
C  0.0000  0.0000  0.5000  2 Sn 2.28
C  0.5000  0.0000  0.0000  2 Sn 2.28
Si  0.0000  0.5000  0.0000  2 Sn 2.62
Ba  0.5000  0.5000  0.5000  4 Si 3.22, 8 C 3.47
Sn  0.0000  0.0000  0.0000  4 C 2.28

Values from the calculation:
* SG: P4/mmm, No. 123
* E: -4.29 eV per atom

***

Compound: Ba2SrSiC
Source: Alexandria
Functional: PBE
Structure: optimized geometry

a b c (Å): 6.9410 3.8347 6.9410
angles (deg): 90.00 90.00 90.00
Last column: nearest neighbours and their distance in Å.
Element x y z (fractional)
C  0.0000  0.5000  0.0000  2 Si 1.92
Sr  0.5000  0.5000  0.5000  2 Sr 3.83, 8 Ba 3.96
Si  0.0000  0.0000  0.0000  2 C 1.92
Ba  0.0000  0.0000  0.5000  2 Si 3.47, 2 Ba 3.83
Ba  0.5000  0.0000  0.0000  2 Si 3.47, 2 Ba 3.83

Values from the calculation:
* SG: P4/mmm, No. 123
* E: -3.31 eV per atom

***

Compound: Ba2Si2Tc2C
Source: Alexandria
Functional: PBE
Structure: optimized geometry

a b c (Å): 4.2821 6.2452 7.0068
angles (deg): 73.58 72.21 69.95
Last column: nearest neighbours and their distance in Å.
Element x y z (fractional)
Ba  0.5595  0.1954  0.6855  2 C 3.06, 1 Si 3.25
Ba  0.4405  0.8046  0.3145  2 C 3.06, 1 Si 3.25
Si  0.2079  0.3696  0.2146  3 Tc 2.41
Si  0.7921  0.6304  0.7854  3 Tc 2.41
Tc  0.1863  0.6967  0.9306  1 C 1.93
Tc  0.8137  0.3033  0.0694  1 C 1.93
C  0.0000  0.0000  0.0000  2 Tc 1.93

Values from the calculation:
* SG: C2/m, No. 12
* E: -6.66 eV per atom

***

What is the formula in the seventh record? Ba2SrSiC